A plane-wave DFT calculation with PBE+U was carried out for crystalline CdCoSe2O8 at its relaxed geometry.

abc: 5.4608 5.4608 6.5458
angles: 90.00 90.00 120.00
With the nearest neighbours (Å) after each atom.
Fractional positions:
O 0.6667 0.3333 0.5434  1 Se 1.64
O 0.1634 0.3267 0.7866  1 Se 1.69
Se 0.6667 0.3333 0.2928  4 O 1.64-1.69
O 0.3333 0.6667 0.4566  1 Se 1.64
O 0.8366 0.1634 0.2134  1 Se 1.69
Cd 0.0000 0.0000 0.5000  6 O 2.43
Co 0.0000 0.0000 0.0000  6 O 2.08
O 0.3267 0.1634 0.2134  1 Se 1.69
O 0.8366 0.6733 0.2134  1 Se 1.69
O 0.6733 0.8366 0.7866  1 Se 1.69
Se 0.3333 0.6667 0.7072  4 O 1.64-1.69
O 0.1634 0.8366 0.7866  1 Se 1.69

Computed properties:
E_tot ... -60.89 eV per cell
Space-group type ... No. 164
Theoretical density ... 4.49 Mg/m³